[1]
A plane-wave DFT calculation with PBE was carried out for ScOsPt2 after structural relaxation.

Summary:
- Calculated volume: 64.59 Å³/cell
- DFT total energy: -7.727 eV per atom
- DOS at the Fermi energy: 2.928 states/eV/f.u.
- Formation energy from the elements: -0.317 eV per atom

a = 2.8214 Å, b = 2.8214 Å, c = 8.1144 Å
α = 90.00°, β = 90.00°, γ = 90.00°
Closest atoms and distances in Å follow each position.
Space group P4mm (No. 99)
Asymmetric unit:
Sc (0.0000, 0.0000, 0.0000) x1  4 Sc 2.82, 4 Pt 2.84, 4 Os 2.91
Os (0.5000, 0.5000, 0.2611) x1  4 Pt 2.72, 4 Os 2.82, 4 Sc 2.91
Pt (0.0000, 0.0000, 0.4895) x1  4 Os 2.72, 8 Pt 2.82-2.92
Pt (0.5000, 0.5000, 0.7516) x1  8 Pt 2.82-2.92, 4 Sc 2.84

=====

[2]
A plane-wave DFT calculation with PBE was carried out for Sc2OsPt after structural relaxation.

Summary:
- Calculated volume: 141.77 Å³/cell
- DFT total energy: -8.080 eV per atom
- Energy relative to the lowest polymorph listed for this composition: 300.1 meV/atom
- DOS at the Fermi energy: 2.984 states/eV/f.u.
- Formation energy from the elements: -0.597 eV per atom

a = 9.8946 Å, b = 3.2860 Å, c = 4.5060 Å
α = 90.00°, β = 104.61°, γ = 90.00°
Closest atoms and distances in Å follow each position.
Space group Cm (No. 8)
Asymmetric unit:
Sc (0.0000, 0.0000, 0.0000) x2  4 Os 2.76-2.82, 3 Pt 2.78-2.81
Sc (0.2304, 0.0000, 0.6215) x2  4 Pt 2.78-2.80, 3 Os 2.79-2.80
Os (0.4949, 0.0000, 0.5052) x2  7 Sc 2.76-2.82
Pt (0.2387, 0.5000, 0.1237) x2  7 Sc 2.78-2.81

=====

[3]
A plane-wave DFT calculation with PBE was carried out for ScOs2Pt after structural relaxation.

Summary:
- Calculated volume: 124.62 Å³/cell
- DFT total energy: -8.936 eV per atom
- DOS at the Fermi energy: 3.381 states/eV/f.u.
- Formation energy from the elements: -0.228 eV per atom

a = 3.9899 Å, b = 4.0018 Å, c = 7.8052 Å
α = 90.00°, β = 90.00°, γ = 90.00°
Closest atoms and distances in Å follow each position.
Space group Imm2 (No. 44)
Asymmetric unit:
Sc (0.0000, 0.0000, 0.0000) x2  8 Os 2.79-2.83, 4 Pt 2.79
Os (0.0000, 0.0000, 0.4992) x2  4 Os 2.78-2.80, 4 Pt 2.79, 4 Sc 2.83
Os (0.0000, 0.5000, 0.7502) x2  4 Os 2.78-2.80, 4 Sc 2.79, 4 Pt 2.83
Pt (0.0000, 0.5000, 0.2495) x2  4 Sc 2.79, 8 Os 2.79-2.83